Entry 1:
The following is a DFT calculation (PBE) of a relaxed structure of HoMg5Pb6.

For the energy above the most stable polymorph in this dataset, the calculation gives 0.00 eV per formula unit. As for the crystal system: monoclinic. The value obtained for the total DFT energy (no corrections) is -3.02 eV per atom. As for the energy relative to the elements: -115 meV/atom.

It has space group P2/m (No. 10), with a = 5.413 Å, b = 7.200 Å, c = 8.557 Å, α = 90.00°, β = 107.38° and γ = 90.00°. The inequivalent atoms are Ho at (0.000, 0.000, 0.000), Mg at (0.000, 0.500, 0.000), Mg at (0.329, 0.500, 0.660), Mg at (0.337, 0.000, 0.676), Pb at (0.171, 0.250, 0.341) and Pb at (0.500, 0.261, 0.000).


Entry 2:
The following is a DFT calculation (PBE) of a relaxed structure of ScSi2HF.

As for the crystal system: tetragonal. The value obtained for the total DFT energy (no corrections) is -4.30 eV per atom.

It has space group P4/mmm (No. 123), with a = 5.360 Å, b = 5.360 Å, c = 3.947 Å, α = 90.00°, β = 90.00° and γ = 90.00°. The inequivalent atoms are Sc at (0.000, 0.000, 0.000), Si at (0.000, 0.500, 0.000), H at (0.500, 0.500, 0.500) and F at (0.000, 0.000, 0.500).


Entry 3:
The following is a DFT calculation (PBE) of a relaxed structure of PuTh3.

For the energy above the most stable polymorph in this dataset, the calculation gives 0.05 eV per formula unit. As for the crystal system: orthorhombic. The value obtained for the total DFT energy (no corrections) is -9.07 eV per atom. As for the energy relative to the elements: 82 meV/atom.

It has space group Cmcm (No. 63), with a = 9.787 Å, b = 9.955 Å, c = 5.002 Å, α = 90.00°, β = 90.00° and γ = 90.00°. The inequivalent atoms are Pu at (0.000, 0.125, 0.250), Th at (0.000, 0.374, 0.750) and Th at (0.246, 0.124, 0.750).


Entry 4:
The following is a DFT calculation (PBE) of a relaxed structure of Tb2PmMgAu4.

As for the crystal system: trigonal. The value obtained for the total DFT energy (no corrections) is -4.37 eV per atom. As for the energy relative to the elements: -781 meV/atom.

It has space group R-3m (No. 166, hexagonal axes), with a = 5.0403 Å, b = 5.0403 Å, c = 24.9537 Å, α = 90.00°, β = 90.00° and γ = 120.00°. The inequivalent atoms are Tb at (0.0000, 0.0000, 0.2436), Pm at (0.0000, 0.0000, 0.0000), Mg at (0.0000, 0.0000, 0.5000), Au at (0.0000, 0.0000, 0.1230) and Au at (0.0000, 0.0000, 0.3807).


Entry 5:
The following is a DFT calculation (PBE) of a relaxed structure of BeCu3.

As for the crystal system: trigonal. The value obtained for the total DFT energy (no corrections) is -3.98 eV per atom. As for the energy relative to the elements: 22 meV/atom.

It has space group R-3m (No. 166, hexagonal axes), with a = 2.5415 Å, b = 2.5415 Å, c = 23.7902 Å, α = 90.00°, β = 90.00° and γ = 120.00°. The inequivalent atoms are Be at (0.0000, 0.0000, 0.0000), Cu at (0.0000, 0.0000, 0.2562) and Cu at (0.0000, 0.0000, 0.5000).


Entry 6:
The following is a DFT calculation (PBE) of a relaxed structure of CaZn2Se.

As for the crystal system: monoclinic. The value obtained for the total DFT energy (no corrections) is -2.61 eV per atom. Its uncorrected formation energy is -0.6054 eV per atom.

It has space group C2/m (No. 12), with a = 12.403 Å, b = 3.963 Å, c = 3.983 Å, α = 90.00°, β = 108.24° and γ = 90.00°. The inequivalent atoms are Ca at (0.000, 0.000, 0.000), Zn at (0.250, 0.000, 0.749) and Se at (0.000, 0.500, 0.500).


Entry 7:
The following is a DFT calculation (PBE) of a relaxed structure of Dy7Ho3Mg2.

As for the crystal system: monoclinic. The value obtained for the total DFT energy (no corrections) is -4.00 eV per atom. As for the energy relative to the elements: 98 meV/atom.

It has space group P2/m (No. 10), with a = 5.718 Å, b = 3.523 Å, c = 18.384 Å, α = 90.00°, β = 93.61° and γ = 90.00°. The inequivalent atoms are Dy at (0.000, 0.000, 0.000), Dy at (0.179, 0.500, 0.171), Dy at (0.258, 0.500, 0.538), Dy at (0.324, 0.000, 0.852), Ho at (0.223, 0.000, 0.368), Ho at (0.500, 0.500, 0.000) and Mg at (0.295, 0.500, 0.706).


Entry 8:
The following is a DFT calculation (PBE) of a relaxed structure of CrRuAu2.

For the energy above the most stable polymorph in this dataset, the calculation gives 1.85 eV per formula unit. As for the crystal system: cubic. The value obtained for the total DFT energy (no corrections) is -5.76 eV per atom. As for the energy relative to the elements: 606 meV/atom.

It has space group Fm-3m (No. 225), with a = 6.290 Å, b = 6.290 Å, c = 6.290 Å, α = 90.00°, β = 90.00° and γ = 90.00°. The inequivalent atoms are Cr at (0.000, 0.000, 0.000), Ru at (0.000, 0.000, 0.500) and Au at (0.250, 0.250, 0.250).


Entry 9:
The following is a DFT calculation (PBE) of a relaxed structure of Tb5Nd2TmTh.

As for the crystal system: orthorhombic. The value obtained for the total DFT energy (no corrections) is -4.79 eV per atom. As for the energy relative to the elements: 161 meV/atom.

It has space group Cmc2_1 (No. 36), with a = 5.734 Å, b = 21.569 Å, c = 9.827 Å, α = 90.00°, β = 90.00° and γ = 90.00°. The inequivalent atoms are Tb at (0.000, 0.015, 0.000), Tb at (0.000, 0.270, 0.315), Tb at (0.000, 0.305, 0.702), Tb at (0.000, 0.396, 0.027), Tb at (0.000, 0.471, 0.728), Nd at (0.000, 0.114, 0.311), Nd at (0.000, 0.130, 0.696), Tm at (0.000, 0.191, 0.002) and Th at (0.000, 0.404, 0.412).


Entry 10:
The following is a DFT calculation (PBE) of a relaxed structure of Zn2TcAs.

As for the crystal system: orthorhombic. The value obtained for the total DFT energy (no corrections) is -4.20 eV per atom. As for the energy relative to the elements: 188 meV/atom.

It has space group Pmmm (No. 47), with a = 3.243 Å, b = 4.077 Å, c = 4.540 Å, α = 90.00°, β = 90.00° and γ = 90.00°. The inequivalent atoms are Zn at (0.000, 0.000, 0.000), Zn at (0.500, 0.500, 0.000), Tc at (0.000, 0.500, 0.500) and As at (0.500, 0.000, 0.500).


Entry 11:
The following is a DFT calculation (PBE) of a relaxed structure of Ac3RhPb2.

For the energy above the most stable polymorph in this dataset, the calculation gives 0.00 eV per formula unit. As for the crystal system: orthorhombic. The value obtained for the total DFT energy (no corrections) is -5.11 eV per atom. As for the energy relative to the elements: -599 meV/atom.

It has space group Pnma (No. 62), with a = 13.518 Å, b = 4.692 Å, c = 12.955 Å, α = 90.00°, β = 90.00° and γ = 90.00°. The inequivalent atoms are Ac at (0.052, 0.250, 0.130), Ac at (0.117, 0.750, 0.542), Ac at (0.240, 0.250, 0.791), Rh at (0.131, 0.250, 0.366), Pb at (0.003, 0.750, 0.308) and Pb at (0.191, 0.750, 0.996).


Entry 12:
The following is a DFT calculation (PBE) of a relaxed structure of ZnGeMo2.

For the energy above the most stable polymorph in this dataset, the calculation gives 0.00 eV per formula unit. As for the crystal system: cubic. The value obtained for the total DFT energy (no corrections) is -6.65 eV per atom. As for the energy relative to the elements: 243 meV/atom.

It has space group Fm-3m (No. 225), with a = 6.212 Å, b = 6.212 Å, c = 6.212 Å, α = 90.00°, β = 90.00° and γ = 90.00°. The inequivalent atoms are Zn at (0.000, 0.000, 0.000), Ge at (0.000, 0.000, 0.500) and Mo at (0.250, 0.250, 0.250).